Th3Ga4Co4 (GGA-PBE, optimized geometry); symmetry = Immm; crystal system = orthorhombic
1.0
-3.688 -0.278 -1.104
2.115 -3.315 -6.229
0.317 -4.368 6.789
Co Th Ga
4 3 4
Direct
0.773 0.273 0.546
0.500 0.213 0.000
0.227 0.727 0.454
0.500 0.787 0.000
0.123 0.123 0.245
0.877 0.877 0.755
0.000 0.500 0.000
0.326 0.516 0.652
0.674 0.484 0.348
0.674 0.864 0.348
0.326 0.136 0.652

---

Na2AuO3 (GGA-PBE, optimized geometry); symmetry = C2/c; crystal system = monoclinic
1.0
-1.480 -3.161 0.209
4.396 -4.062 -1.046
2.024 -3.581 16.759
Na O Au
8 12 4
Direct
0.355 0.265 0.493
0.331 0.647 0.342
0.620 0.735 0.993
0.645 0.735 0.507
0.022 0.647 0.158
0.380 0.265 0.007
0.669 0.353 0.658
0.978 0.353 0.842
0.476 0.048 0.750
0.260 0.572 0.912
0.811 0.378 0.250
0.706 0.970 0.085
0.169 0.572 0.588
0.294 0.030 0.915
0.189 0.622 0.750
0.677 0.030 0.585
0.524 0.952 0.250
0.740 0.428 0.088
0.831 0.428 0.412
0.323 0.970 0.415
0.111 0.179 0.332
0.290 0.821 0.832
0.889 0.821 0.668
0.710 0.179 0.168

---

Calculated total energy per entry: -6.176 -4.202 eV/atom